First-principles (PBE with a Hubbard U) data for a geometry-optimized CsSi2WO8 structure, as listed in Alexandria.

The calculation puts the total energy at -7.067 eV/atom.

The structure belongs to space group C2/m (No. 12); the cell edges are 9.0955, 5.3779 and 8.9509 Å and the angles 90.00°, 91.81° and 90.00°. The distinct sites, in fractional coordinates, are Cs at (0.0000, 0.0000, 0.0000), Si at (0.1517, 0.5000, 0.3094), W at (0.0000, 0.0000, 0.5000), O at (0.0582, 0.2536, 0.3602), O at (0.1757, 0.5000, 0.1324) and O at (0.1929, 0.0000, 0.5913).